Model a:
4
Lattice="4.547 0.000 0.000 0.000 4.547 0.000 0.000 0.000 4.679" Properties=species:S:1:pos:R:3 comment="PBE ZrPaIn2, relaxed" mass_density_kg_m3=9474 m_tot_mub_per_fu=0.0 dos_at_fermi_per_ev_fu=5.7 sg=P4/mmm pbc="T T T"
Zr 0.000 0.000 0.000
Pa 2.273 2.273 0.000
In 0.000 2.273 2.340
In 2.273 0.000 2.340

=====

Model b:
4
Lattice="1.610 0.929 10.714 -1.610 0.929 10.714 0.000 -1.859 10.714" Properties=species:S:1:pos:R:3 comment="PBE ZrPaIn2, relaxed" mass_density_kg_m3=9531 m_tot_mub_per_fu=0.0 dos_at_fermi_per_ev_fu=4.7 sg=R-3m pbc="T T T"
Zr 0.000 0.000 0.000
Pa 0.000 0.000 16.070
In 0.000 0.000 8.153
In 0.000 0.000 23.987

=====

Model c:
4
Lattice="3.138 0.000 0.000 0.000 3.138 0.000 0.000 0.000 9.520" Properties=species:S:1:pos:R:3 comment="PBE ZrPaIn2, relaxed" mass_density_kg_m3=9779 m_tot_mub_per_fu=0.7 dos_at_fermi_per_ev_fu=5.6 sg=P4/mmm pbc="T T T"
Zr 0.000 0.000 0.000
Pa 0.000 0.000 4.760
In 1.569 1.569 2.243
In 1.569 1.569 7.277

=====

The relative energies come out as model a 90; model b 36; model c 0, with values in meV/atom.

=====

Model a:
4
Lattice="0.000 3.583 3.583 3.583 0.000 3.583 3.583 3.583 0.000" Properties=species:S:1:pos:R:3 comment="PBE Zr2PaIn, relaxed" mass_density_kg_m3=9533 m_tot_mub_per_fu=0.0 dos_at_fermi_per_ev_fu=8.2 sg=Fm-3m pbc="T T T"
Zr 1.792 1.792 1.792
Zr 5.375 5.375 5.375
Pa 0.000 0.000 0.000
In 3.583 3.583 3.583

=====

Model b:
4
Lattice="3.671 0.000 0.000 0.000 3.671 0.000 0.000 0.000 6.827" Properties=species:S:1:pos:R:3 comment="PBE Zr2PaIn, relaxed" mass_density_kg_m3=9534 m_tot_mub_per_fu=0.0 dos_at_fermi_per_ev_fu=4.9 sg=P4/mmm pbc="T T T"
Zr 0.000 0.000 1.653
Zr 0.000 0.000 5.174
Pa 1.836 1.836 0.000
In 1.836 1.836 3.414

=====

The relative energies come out as model a 83; model b 0, with values in meV/atom.

=====

Model a:
4
Lattice="1.648 0.952 10.277 -1.648 0.952 10.277 0.000 -1.903 10.277" Properties=species:S:1:pos:R:3 comment="PBE Zr2PaIn, relaxed" mass_density_kg_m3=9069 m_tot_mub_per_fu=0.0 dos_at_fermi_per_ev_fu=6.4 sg=R-3m pbc="T T T"
Zr 0.000 0.000 7.670
Zr 0.000 0.000 23.160
Pa 0.000 0.000 0.000
In 0.000 0.000 15.415

=====

Model b:
4
Lattice="2.600 1.501 4.101 -2.600 1.501 4.101 0.000 -3.002 4.101" Properties=species:S:1:pos:R:3 comment="PBE Zr2PaIn, relaxed" mass_density_kg_m3=9135 m_tot_mub_per_fu=0.0 dos_at_fermi_per_ev_fu=8.6 sg=R3m pbc="T T T"
Zr 0.000 0.000 0.000
Zr 0.000 0.000 3.131
Pa 0.000 0.000 9.463
In 0.000 0.000 6.302

=====

Model c:
4
Lattice="4.786 0.000 0.000 0.000 4.786 0.000 0.000 0.000 4.023" Properties=species:S:1:pos:R:3 comment="PBE Zr2PaIn, relaxed" mass_density_kg_m3=9521 m_tot_mub_per_fu=0.0 dos_at_fermi_per_ev_fu=6.7 sg=P4/mmm pbc="T T T"
Zr 0.000 2.393 0.000
Zr 2.393 0.000 0.000
Pa 0.000 0.000 2.011
In 2.393 2.393 2.011

=====

The relative energies come out as model a 133; model b 229; model c 0, with values in meV/atom.

=====

Model a:
3
Lattice="-1.822 1.822 6.499 1.822 -1.822 6.499 1.822 1.822 -6.499" Properties=species:S:1:pos:R:3 comment="PBE In2Pb, relaxed" mass_density_kg_m3=8409 m_tot_mub_per_fu=0.0 dos_at_fermi_per_ev_fu=1.4 sg=I4/mmm pbc="T T T"
In 0.000 0.000 2.229
In 0.000 0.000 10.770
Pb 0.000 0.000 6.499

=====

Model b:
6
Lattice="5.286 -2.464 0.000 5.286 2.464 0.000 -1.944 0.000 6.626" Properties=species:S:1:pos:R:3 comment="PBE In2Pb, relaxed" mass_density_kg_m3=8403 m_tot_mub_per_fu=0.0 dos_at_fermi_per_ev_fu=1.4 sg=C2/m pbc="T T T"
In 0.000 0.000 0.000
In -0.972 0.000 3.313
In 2.237 0.000 4.375
In 6.392 0.000 2.252
Pb 3.194 0.000 1.108
Pb 5.434 0.000 5.518

=====

The relative energies come out as model a 6; model b 0, with values in meV/atom.

=====

Model a:
6
Lattice="-3.678 3.678 3.414 3.678 -3.678 3.414 3.678 3.678 -3.414" Properties=species:S:1:pos:R:3 comment="PBE In2Pb, relaxed" mass_density_kg_m3=7855 m_tot_mub_per_fu=0.0 dos_at_fermi_per_ev_fu=1.1 sg=I4/mcm pbc="T T T"
In 4.754 1.077 0.000
In 1.077 2.601 0.000
In 2.601 1.077 3.414
In -1.077 2.601 3.414
Pb 0.000 0.000 1.707
Pb 0.000 0.000 5.121

=====

Model b:
3
Lattice="0.000 3.697 3.697 3.697 0.000 3.697 3.697 3.697 0.000" Properties=species:S:1:pos:R:3 comment="PBE In2Pb, relaxed" mass_density_kg_m3=7175 m_tot_mub_per_fu=0.0 dos_at_fermi_per_ev_fu=1.9 sg=Fm-3m pbc="T T T"
In 1.849 1.849 1.849
In 5.546 5.546 5.546
Pb 0.000 0.000 0.000

=====

The relative energies come out as model a 0; model b 44, with values in meV/atom.

=====

Model a:
6
Lattice="-1.691 1.691 15.572 1.691 -1.691 15.572 1.691 1.691 -15.572" Properties=species:S:1:pos:R:3 comment="PBE In2Pb, relaxed" mass_density_kg_m3=8144 m_tot_mub_per_fu=0.0 dos_at_fermi_per_ev_fu=1.5 sg=I4_1/amd pbc="T T T"
In 1.691 0.846 1.364
In 1.691 0.846 6.422
In 0.000 0.846 9.150
In 0.000 0.846 14.209
Pb 1.691 -0.846 11.679
Pb 0.000 2.537 3.893

=====

Model b:
12
Lattice="6.815 0.000 0.000 0.000 5.148 0.000 0.000 0.000 9.881" Properties=species:S:1:pos:R:3 comment="PBE In2Pb, relaxed" mass_density_kg_m3=8371 m_tot_mub_per_fu=0.0 dos_at_fermi_per_ev_fu=1.1 sg=Pnma pbc="T T T"
In 0.786 1.287 2.416
In 0.854 1.287 9.061
In 2.554 3.861 4.120
In 2.622 3.861 7.356
In 4.193 1.287 2.525
In 4.261 1.287 5.761
In 5.961 3.861 0.820
In 6.029 3.861 7.466
Pb 0.899 1.287 5.756
Pb 2.508 3.861 0.815
Pb 4.306 1.287 9.066
Pb 5.916 3.861 4.125

=====

The relative energies come out as model a 23; model b 0, with values in meV/atom.

=====

Model a:
3
Lattice="-1.714 2.535 4.992 1.714 -2.535 4.992 1.714 2.535 -4.992" Properties=species:S:1:pos:R:3 comment="PBE In2Pb, relaxed" mass_density_kg_m3=8360 m_tot_mub_per_fu=0.0 dos_at_fermi_per_ev_fu=1.3 sg=Immm pbc="T T T"
In 0.000 0.000 1.652
In 0.000 0.000 8.332
Pb 0.000 0.000 4.992

=====

Model b:
9
Lattice="9.514 0.000 0.000 -4.757 8.239 0.000 0.000 0.000 3.355" Properties=species:S:1:pos:R:3 comment="PBE In2Pb, relaxed" mass_density_kg_m3=8274 m_tot_mub_per_fu=0.0 dos_at_fermi_per_ev_fu=1.4 sg=P-62m pbc="T T T"
In -1.491 2.582 0.000
In -3.060 5.300 1.678
In 2.982 0.000 0.000
In 1.697 2.939 1.678
In 6.120 0.000 1.678
In 3.266 5.657 0.000
Pb 0.000 0.000 1.678
Pb 0.000 5.493 0.000
Pb 4.757 2.746 0.000

=====

Model c:
6
Lattice="5.442 0.000 0.000 -2.721 4.713 0.000 0.000 0.000 6.809" Properties=species:S:1:pos:R:3 comment="PBE In2Pb, relaxed" mass_density_kg_m3=8309 m_tot_mub_per_fu=0.0 dos_at_fermi_per_ev_fu=1.9 sg=P6_3/mmc pbc="T T T"
In 0.000 0.000 0.000
In 0.000 0.000 3.404
In 0.000 3.142 1.702
In 2.721 1.571 5.107
Pb 0.000 3.142 5.107
Pb 2.721 1.571 1.702

=====

The relative energies come out as model a 0; model b 16; model c 47, with values in meV/atom.

=====

Model a:
6
Lattice="6.125 -1.720 0.000 6.125 1.720 0.000 -2.794 0.000 8.191" Properties=species:S:1:pos:R:3 comment="PBE In2Pb, relaxed" mass_density_kg_m3=8408 m_tot_mub_per_fu=0.0 dos_at_fermi_per_ev_fu=1.0 sg=Cm pbc="T T T"
In 0.000 0.000 0.000
In -1.127 0.000 4.589
In 4.002 0.000 1.853
In 6.012 0.000 7.391
Pb 2.233 0.000 5.536
Pb 7.357 0.000 2.679

=====

Model b:
6
Lattice="6.043 -1.740 0.000 6.043 1.740 0.000 -2.856 0.000 8.165" Properties=species:S:1:pos:R:3 comment="PBE In2Pb, relaxed" mass_density_kg_m3=8448 m_tot_mub_per_fu=0.0 dos_at_fermi_per_ev_fu=0.9 sg=C2/m pbc="T T T"
In -0.446 0.000 2.128
In 1.475 0.000 7.790
In 7.756 0.000 0.375
In 9.676 0.000 6.037
Pb 2.889 0.000 3.200
Pb 6.341 0.000 4.964

=====

The relative energies come out as model a 7; model b 0, with values in meV/atom.